A relaxed structure of TmNpPdRu. Source: the Alexandria database, functional PBE.

Cell lengths 6.834, 6.834, 6.834 Å; angles 90.00, 90.00, 90.00 degrees
Space group F-43m (No. 216)
Asymmetric unit:
Tm 0.000 0.000 0.000
Np 0.000 0.000 0.500
Pd 0.250 0.250 0.250
Ru 0.250 0.250 0.750

Calculated values
Calculated volume ... 319 Å³/cell
Total moment ... 0.876 μB per atom
DOS(E_F) ... 1.688 states/eV/atom
E ... -8.287 eV/atom